Entry 1:
# CsLa2Y

An optimized crystal structure of CsLa2Y (GGA-PBEsol, the Alexandria database).

Results
The calculated density comes out at 5.449 g cm⁻³. The value obtained for the total magnetization is 0.122 μB/f.u. The volume comes out at 152 Å³ per cell. Its crystal system is cubic. The calculation puts the density of states at the Fermi level at 7.85 states/eV/f.u. The calculated total energy comes out at -16.09 eV per cell.

a = 5.994 Å, b = 5.994 Å, c = 5.994 Å
α = 60.00°, β = 60.00°, γ = 60.00°
Atoms (fractional coordinates):
Cs 0.500 0.500 0.500
Y 0.000 0.000 0.000
La 0.250 0.250 0.250
La 0.750 0.750 0.750


Entry 2:
# CsLaZr3

An optimized crystal structure of CsLaZr3 (GGA-PBEsol, the Alexandria database).

Results
The calculated density comes out at 6.119 g cm⁻³. The value obtained for the total magnetization is 0.197 μB/f.u. The volume comes out at 148 Å³ per cell. Its crystal system is cubic. The calculation puts the density of states at the Fermi level at 12.29 states/eV/f.u. The excess energy over the best structure of this formula in the dataset is 103 meV per atom.

a = 5.290 Å, b = 5.290 Å, c = 5.290 Å
α = 90.00°, β = 90.00°, γ = 90.00°
Atoms (fractional coordinates):
Cs 0.000 0.000 0.000
Zr 0.000 0.500 0.000
Zr 0.000 0.000 0.500
Zr 0.500 0.000 0.000
La 0.500 0.500 0.500


Entry 3:
# CsLaZr3

An optimized crystal structure of CsLaZr3 (GGA-PBEsol, the Alexandria database).

Results
The calculated density comes out at 5.890 g cm⁻³. The value obtained for the total magnetization is 0.000 μB/f.u. The volume comes out at 154 Å³ per cell. Its crystal system is cubic. The calculation puts the density of states at the Fermi level at 6.78 states/eV/f.u. The excess energy over the best structure of this formula in the dataset is 0 meV per atom.

a = 5.358 Å, b = 5.358 Å, c = 5.358 Å
α = 90.00°, β = 90.00°, γ = 90.00°
Atoms (fractional coordinates):
Cs 0.500 0.500 0.500
Zr 0.000 0.500 0.000
Zr 0.000 0.000 0.500
Zr 0.500 0.000 0.000
La 0.000 0.000 0.000


Entry 4:
# CsLa3Zr

An optimized crystal structure of CsLa3Zr (GGA-PBEsol, the Alexandria database).

Results
The calculated density comes out at 5.187 g cm⁻³. The value obtained for the total magnetization is 0.000 μB/f.u. The volume comes out at 205 Å³ per cell. Its crystal system is cubic. The calculation puts the density of states at the Fermi level at 5.43 states/eV/f.u. The calculated total energy comes out at -23.32 eV per cell.

a = 5.898 Å, b = 5.898 Å, c = 5.898 Å
α = 90.00°, β = 90.00°, γ = 90.00°
Atoms (fractional coordinates):
Cs 0.500 0.500 0.500
Zr 0.000 0.000 0.000
La 0.000 0.500 0.000
La 0.000 0.000 0.500
La 0.500 0.000 0.000


Entry 5:
# Cs2LiMgRh

An optimized crystal structure of Cs2LiMgRh (GGA-PBEsol, the Alexandria database).

Results
The calculated density comes out at 2.807 g cm⁻³. The value obtained for the total magnetization is 0.131 μB/f.u. The volume comes out at 237 Å³ per cell. Its crystal system is tetragonal. The calculation puts the density of states at the Fermi level at 6.57 states/eV/f.u. The calculated total energy comes out at -10.35 eV per cell.

a = 4.760 Å, b = 7.050 Å, c = 7.050 Å
α = 90.00°, β = 90.00°, γ = 90.00°
Each line ends with the local moment (μB).
Atoms (fractional coordinates):
Cs 0.000 0.000 0.500  0.00
Cs 0.000 0.500 0.000  0.00
Mg 0.000 0.000 0.000  0.00
Rh 0.500 0.000 0.000  0.15
Li 0.500 0.500 0.500  0.00


Entry 6:
# CsLiMgSn2

An optimized crystal structure of CsLiMgSn2 (GGA-PBEsol, the Alexandria database).

Results
The calculated density comes out at 4.527 g cm⁻³. The value obtained for the total magnetization is 0.000 μB/f.u. The volume comes out at 147 Å³ per cell. Its crystal system is tetragonal. The calculation puts the density of states at the Fermi level at 2.75 states/eV/f.u. The calculated total energy comes out at -12.65 eV per cell.

a = 5.257 Å, b = 5.257 Å, c = 5.331 Å
α = 90.00°, β = 90.00°, γ = 90.00°
Atoms (fractional coordinates):
Cs 0.500 0.500 0.500
Mg 0.000 0.000 0.500
Sn 0.000 0.500 0.000
Sn 0.500 0.000 0.000
Li 0.000 0.000 0.000


Entry 7:
# Cs2LiMn2

An optimized crystal structure of Cs2LiMn2 (GGA-PBEsol, the Alexandria database).

Results
The calculated density comes out at 4.598 g cm⁻³. The value obtained for the total magnetization is 0.004 μB/f.u. The volume comes out at 138 Å³ per cell. Its crystal system is tetragonal. The calculation puts the density of states at the Fermi level at 4.46 states/eV/f.u. The calculated total energy comes out at -18.69 eV per cell.

a = 3.227 Å, b = 3.227 Å, c = 13.466 Å
α = 96.88°, β = 96.88°, γ = 90.00°
Atoms (fractional coordinates):
Cs 0.367 0.367 0.734
Cs 0.633 0.633 0.266
Mn 0.250 0.750 0.500
Mn 0.750 0.250 0.500
Li 0.000 0.000 0.000


Entry 8:
# Cs2LiMnO4

An optimized crystal structure of Cs2LiMnO4 (GGA-PBEsol, the Alexandria database).

Results
The calculated density comes out at 4.514 g cm⁻³. The value obtained for the total magnetization is 2.000 μB/f.u. The volume comes out at 288 Å³ per cell. Its crystal system is orthorhombic. Its formation energy without anion corrections is -1.79 eV per atom.

a = 5.946 Å, b = 6.680 Å, c = 8.102 Å
α = 90.00°, β = 90.00°, γ = 116.42°
Each line ends with the local moment (μB).
Atoms (fractional coordinates):
Cs 0.607 0.213 0.453  0.00
Cs 0.393 0.787 0.953  0.00
Cs 0.930 0.859 0.591  0.00
Cs 0.070 0.141 0.091  0.00
Li 0.793 0.586 0.173  0.00
Li 0.207 0.414 0.673  0.00
Mn 0.303 0.607 0.392  1.59
Mn 0.697 0.393 0.892  1.59
O 0.638 0.275 0.084  0.07
O 0.362 0.725 0.584  0.07
O 0.164 0.328 0.438  0.07
O 0.836 0.672 0.938  0.07
O 0.895 0.320 0.789  0.05
O 0.105 0.680 0.289  0.05
O 0.425 0.320 0.789  0.05
O 0.575 0.680 0.289  0.05


Entry 9:
# CsLiMnS2

An optimized crystal structure of CsLiMnS2 (GGA-PBEsol, the Alexandria database).

Results
The calculated density comes out at 3.726 g cm⁻³. The value obtained for the total magnetization is 5.000 μB/f.u. The volume comes out at 115 Å³ per cell. Its crystal system is tetragonal. Its formation energy without anion corrections is -1.02 eV per atom.

a = 4.089 Å, b = 4.089 Å, c = 7.481 Å
α = 105.86°, β = 105.86°, γ = 90.00°
Each line ends with the local moment (μB).
Atoms (fractional coordinates):
Cs 0.000 0.000 0.000  0.01
S 0.343 0.343 0.686  0.09
S 0.657 0.657 0.314  0.09
Mn 0.250 0.750 0.500  4.18
Li 0.750 0.250 0.500  0.00


Entry 10:
# Cs3LiMo

An optimized crystal structure of Cs3LiMo (GGA-PBEsol, the Alexandria database).

Results
The calculated density comes out at 2.077 g cm⁻³. The value obtained for the total magnetization is 6.023 μB/f.u. The volume comes out at 401 Å³ per cell. Its crystal system is cubic. The calculation puts the density of states at the Fermi level at 3.47 states/eV/f.u. The calculated total energy comes out at -10.31 eV per cell.

a = 7.374 Å, b = 7.374 Å, c = 7.374 Å
α = 90.00°, β = 90.00°, γ = 90.00°
Each line ends with the local moment (μB).
Atoms (fractional coordinates):
Cs 0.000 0.500 0.000  0.04
Cs 0.000 0.000 0.500  0.04
Cs 0.500 0.000 0.000  0.04
Mo 0.000 0.000 0.000  4.17
Li 0.500 0.500 0.500  0.00


Entry 11:
# CsLi2MoPd

An optimized crystal structure of CsLi2MoPd (GGA-PBEsol, the Alexandria database).

Results
The calculated density comes out at 4.141 g cm⁻³. The value obtained for the total magnetization is 2.864 μB/f.u. The volume comes out at 140 Å³ per cell. Its crystal system is tetragonal. The calculation puts the density of states at the Fermi level at 3.68 states/eV/f.u. The calculated total energy comes out at -17.79 eV per cell.

a = 4.777 Å, b = 5.414 Å, c = 5.414 Å
α = 90.00°, β = 90.00°, γ = 90.00°
Each line ends with the local moment (μB).
Atoms (fractional coordinates):
Cs 0.500 0.500 0.500  0.00
Mo 0.000 0.000 0.000  2.16
Pd 0.500 0.000 0.000  0.21
Li 0.000 0.000 0.500  0.02
Li 0.000 0.500 0.000  0.02


Entry 12:
# CsRb2LiMo

An optimized crystal structure of CsRb2LiMo (GGA-PBEsol, the Alexandria database).

Results
The calculated density comes out at 1.819 g cm⁻³. The value obtained for the total magnetization is 5.774 μB/f.u. The volume comes out at 371 Å³ per cell. Its crystal system is tetragonal. The calculation puts the density of states at the Fermi level at 3.24 states/eV/f.u. The calculated total energy comes out at -10.35 eV per cell.

a = 7.286 Å, b = 7.139 Å, c = 7.139 Å
α = 90.00°, β = 90.00°, γ = 90.00°
Each line ends with the local moment (μB).
Atoms (fractional coordinates):
Cs 0.500 0.000 0.000  0.04
Mo 0.000 0.000 0.000  4.17
Rb 0.000 0.000 0.500  0.03
Rb 0.000 0.500 0.000  0.03
Li 0.500 0.500 0.500  0.00


Entry 13:
# CsLiN2

An optimized crystal structure of CsLiN2 (GGA-PBEsol, the Alexandria database).

Results
The calculated density comes out at 2.599 g cm⁻³. The value obtained for the total magnetization is 4.000 μB/f.u. The volume comes out at 107 Å³ per cell. Its crystal system is trigonal. The calculation puts the density of states at the Fermi level at 2.20 states/eV/f.u. Its formation energy without anion corrections is 1.48 eV per atom.

a = 4.054 Å, b = 4.054 Å, c = 7.890 Å
α = 75.11°, β = 75.11°, γ = 60.00°
Each line ends with the local moment (μB).
Atoms (fractional coordinates):
Cs 0.500 0.500 0.500  0.11
N 0.914 0.914 0.257  0.01
N 0.086 0.086 0.743  1.25
Li 0.000 0.000 0.000  1.25


Entry 14:
# Cs3LiN

An optimized crystal structure of Cs3LiN (GGA-PBEsol, the Alexandria database).

Results
The calculated density comes out at 3.090 g cm⁻³. The value obtained for the total magnetization is 1.157 μB/f.u. The volume comes out at 225 Å³ per cell. Its crystal system is cubic. The calculation puts the density of states at the Fermi level at 2.11 states/eV/f.u. Its formation energy without anion corrections is 0.46 eV per atom. The excess energy over the best structure of this formula in the dataset is 0 meV per atom.

a = 6.087 Å, b = 6.087 Å, c = 6.087 Å
α = 90.00°, β = 90.00°, γ = 90.00°
Each line ends with the local moment (μB).
Atoms (fractional coordinates):
Cs 0.000 0.500 0.000  0.01
Cs 0.000 0.000 0.500  0.01
Cs 0.500 0.000 0.000  0.01
Li 0.500 0.500 0.500  0.00
N 0.000 0.000 0.000  0.83


Entry 15:
# CsLiSN2

An optimized crystal structure of CsLiSN2 (GGA-PBEsol, the Alexandria database).

Results
The calculated density comes out at 2.508 g cm⁻³. The value obtained for the total magnetization is 3.609 μB/f.u. The volume comes out at 132 Å³ per cell. Its crystal system is tetragonal. The calculation puts the density of states at the Fermi level at 2.86 states/eV/f.u. Its formation energy without anion corrections is 1.95 eV per atom.

a = 4.850 Å, b = 4.850 Å, c = 5.628 Å
α = 90.00°, β = 90.00°, γ = 90.00°
Each line ends with the local moment (μB).
Atoms (fractional coordinates):
Cs 0.000 0.000 0.000  0.08
S 0.000 0.000 0.500  0.19
Li 0.500 0.500 0.500  0.00
N 0.000 0.500 0.000  1.09
N 0.500 0.000 0.000  1.09


Entry 16:
# CsNa2Li

An optimized crystal structure of CsNa2Li (GGA-PBEsol, the Alexandria database).

Results
The calculated density comes out at 1.639 g cm⁻³. The value obtained for the total magnetization is 0.001 μB/f.u. The volume comes out at 188 Å³ per cell. Its crystal system is cubic. The calculation puts the density of states at the Fermi level at 2.86 states/eV/f.u. The calculated total energy comes out at -5.16 eV per cell.

a = 6.434 Å, b = 6.434 Å, c = 6.434 Å
α = 60.00°, β = 60.00°, γ = 60.00°
Atoms (fractional coordinates):
Cs 0.500 0.500 0.500
Na 0.250 0.250 0.250
Na 0.750 0.750 0.750
Li 0.000 0.000 0.000


Entry 17:
# Cs2NaLi

An optimized crystal structure of Cs2NaLi (GGA-PBEsol, the Alexandria database).

Results
The calculated density comes out at 1.979 g cm⁻³. The value obtained for the total magnetization is 0.000 μB/f.u. The volume comes out at 248 Å³ per cell. Its crystal system is cubic. The calculation puts the density of states at the Fermi level at 2.45 states/eV/f.u. The calculated total energy comes out at -4.78 eV per cell.

a = 7.053 Å, b = 7.053 Å, c = 7.053 Å
α = 60.00°, β = 60.00°, γ = 60.00°
Atoms (fractional coordinates):
Cs 0.250 0.250 0.250
Cs 0.750 0.750 0.750
Na 0.500 0.500 0.500
Li 0.000 0.000 0.000


Entry 18:
# CsNaLi2Ru

An optimized crystal structure of CsNaLi2Ru (GGA-PBEsol, the Alexandria database).

Results
The calculated density comes out at 3.230 g cm⁻³. The value obtained for the total magnetization is 0.000 μB/f.u. The volume comes out at 139 Å³ per cell. Its crystal system is tetragonal. The calculation puts the density of states at the Fermi level at 1.96 states/eV/f.u. The calculated total energy comes out at -12.51 eV per cell.

a = 5.127 Å, b = 5.127 Å, c = 5.298 Å
α = 90.00°, β = 90.00°, γ = 90.00°
Atoms (fractional coordinates):
Cs 0.000 0.000 0.500
Ru 0.000 0.000 0.000
Li 0.000 0.500 0.000
Li 0.500 0.000 0.000
Na 0.500 0.500 0.500


Entry 19:
# CsNa2LiSi

An optimized crystal structure of CsNa2LiSi (GGA-PBEsol, the Alexandria database).

Results
The calculated density comes out at 2.094 g cm⁻³. The value obtained for the total magnetization is 0.000 μB/f.u. The volume comes out at 170 Å³ per cell. Its crystal system is tetragonal. The calculation puts the density of states at the Fermi level at 0.44 states/eV/f.u. Its formation energy without anion corrections is 0.05 eV per atom.

a = 5.193 Å, b = 5.716 Å, c = 5.716 Å
α = 90.00°, β = 90.00°, γ = 90.00°
Atoms (fractional coordinates):
Cs 0.500 0.500 0.500
Na 0.000 0.000 0.500
Na 0.000 0.500 0.000
Si 0.000 0.000 0.000
Li 0.500 0.000 0.000


Entry 20:
# CsLiNb2

An optimized crystal structure of CsLiNb2 (GGA-PBEsol, the Alexandria database).

Results
The calculated density comes out at 6.066 g cm⁻³. The value obtained for the total magnetization is 0.000 μB/f.u. The volume comes out at 178 Å³ per cell. Its crystal system is tetragonal. The calculation puts the density of states at the Fermi level at 3.28 states/eV/f.u. The calculated total energy comes out at -39.08 eV per cell.

a = 3.900 Å, b = 3.900 Å, c = 12.043 Å
α = 99.32°, β = 99.32°, γ = 90.00°
Atoms (fractional coordinates):
Cs 0.250 0.750 0.500
Cs 0.000 0.000 0.000
Nb 0.391 0.375 0.250
Nb 0.859 0.875 0.250
Nb 0.625 0.141 0.750
Nb 0.125 0.609 0.750
Li 0.750 0.250 0.500
Li 0.500 0.500 0.000